LiTiRh, optimized geometry, DFT PBE; DFT formation energy = -0.348 eV per atom; symmetry = I4mm, No. 107; energy above the most stable polymorph in this dataset = 0 kJ/mol of formula units; calculated volume = 44 Å³/cell
1.0
-1.599 1.599 4.302
1.599 -1.599 4.302
1.599 1.599 -4.302
Li Ti Rh
1 1 1
direct
0.000 0.000 0.000 Li
0.310 0.310 0.000 Ti
0.668 0.668 0.000 Rh